## BaNaCrO4 (PBE+U)

Data for a geometry-optimized BaNaCrO4 structure.

a = 6.1327 Å, b = 6.1327 Å, c = 6.1327 Å
α = 60.00°, β = 60.00°, γ = 60.00°
Last column: nearest neighbours and their distance in Å.
Atoms (fractional coordinates):
Ba  0.0000  0.0000  0.0000  12 O 3.63, 4 Na 3.76
Na  0.2500  0.2500  0.2500  4 O 2.05
Cr  0.5000  0.5000  0.5000  4 O 1.71
O  0.3863  0.3863  0.3863  1 Cr 1.71
O  0.3863  0.3863  0.8412  1 Cr 1.71
O  0.3863  0.8412  0.3863  1 Cr 1.71
O  0.8412  0.3863  0.3863  1 Cr 1.71

Electronic total energy, eV per atom: -5.92